1.
VASP calculation (PBE) on crystalline TlCuTePdS2 at its relaxed geometry.

* ρ: 6.62 g/cm3
* E_tot: -94.786 eV/cell
* calculated volume: 23.67 A^3/atom

Lattice parameters (Å, degrees): 3.6233 15.0276 10.4309 90.00 90.00 90.00
Space group Cmcm (No. 63)
One atom of each set of equivalent atoms:
Tl: 0.0000 0.2283 0.2500
Cu: 0.0000 0.4385 0.7500
Te: 0.0000 0.0725 0.7500
Pd: 0.0000 0.0000 0.0000
S: 0.0000 0.3962 0.5432

2.
VASP calculation (PBE) on crystalline AlFeCuTe4 at its relaxed geometry.

* ρ: 6.44 g/cm3
* relative energy among the computed polymorphs: 0 meV/atom
* E_tot: -117.952 eV/cell
* calculated volume: 24.18 A^3/atom

Lattice parameters (Å, degrees): 7.8686 7.8686 10.9364 90.00 90.00 90.00
Space group P4_122 (No. 91)
One atom of each set of equivalent atoms:
Al: 0.0000 0.2334 0.0000
Fe: 0.2425 0.5000 0.7500
Cu: 0.2688 0.2688 0.3750
Te: 0.0126 0.2681 0.7446
Te: 0.2669 0.4725 0.9833

What did the first record say?
VASP calculation (PBE) on crystalline TlCuTePdS2 at its relaxed geometry.

* ρ: 6.62 g/cm3
* E_tot: -94.786 eV/cell
* calculated volume: 23.67 A^3/atom

Lattice parameters (Å, degrees): 3.6233 15.0276 10.4309 90.00 90.00 90.00
Space group Cmcm (No. 63)
One atom of each set of equivalent atoms:
Tl: 0.0000 0.2283 0.2500
Cu: 0.0000 0.4385 0.7500
Te: 0.0000 0.0725 0.7500
Pd: 0.0000 0.0000 0.0000
S: 0.0000 0.3962 0.5432

Which formula does entry 2 have?
AlFeCuTe4

Please write out number 2 again, unchanged.
VASP calculation (PBE) on crystalline AlFeCuTe4 at its relaxed geometry.

* ρ: 6.44 g/cm3
* relative energy among the computed polymorphs: 0 meV/atom
* E_tot: -117.952 eV/cell
* calculated volume: 24.18 A^3/atom

Lattice parameters (Å, degrees): 7.8686 7.8686 10.9364 90.00 90.00 90.00
Space group P4_122 (No. 91)
One atom of each set of equivalent atoms:
Al: 0.0000 0.2334 0.0000
Fe: 0.2425 0.5000 0.7500
Cu: 0.2688 0.2688 0.3750
Te: 0.0126 0.2681 0.7446
Te: 0.2669 0.4725 0.9833

Which of these has the lowest ρ?
AlFeCuTe4